The following is a DFT calculation (meta-GGA SCAN) of a crystal of Zr2ReTc relaxed with PBEsol. Values from VASP.

Summary:
Symmetry: F-43m (216)
Formation energy (eV/atom): -0.16

Quantum ESPRESSO input file:
```
&SYSTEM
  ibrav = 0, nat = 4, ntyp = 3
/
ATOMIC_SPECIES
Re 186.21 Re.upf
Tc 98.00 Tc.upf
Zr 91.22 Zr.upf
ATOMIC_POSITIONS angstrom
Re 4.5684 2.6375 1.8650
Tc 2.2842 1.3188 0.9325
Zr 0.0000 0.0000 0.0000
Zr 6.8526 3.9563 2.7975
CELL_PARAMETERS angstrom
4.5684 0.0000 0.0000
2.2842 3.9563 0.0000
2.2842 1.3188 3.7301
```



The following is a DFT calculation (meta-GGA SCAN) of a crystal of MgBe4Re relaxed with PBEsol. Values from VASP.

Summary:
Symmetry: F-43m (216)
Formation energy (eV/atom): 0.02

Quantum ESPRESSO input file:
```
&SYSTEM
  ibrav = 0, nat = 6, ntyp = 3
/
ATOMIC_SPECIES
Re 186.21 Re.upf
Mg 24.30 Mg.upf
Be 9.01 Be.upf
ATOMIC_POSITIONS angstrom
Re 0.0000 0.0000 0.0000
Mg 6.6553 3.8425 2.7170
Be 3.2969 1.9035 1.3459
Be 4.4369 2.5616 3.2076
Be 5.5769 1.9035 1.3459
Be 4.4369 3.8780 1.3459
CELL_PARAMETERS angstrom
4.4369 0.0000 0.0000
2.2184 3.8425 0.0000
2.2184 1.2808 3.6227
```



The following is a DFT calculation (meta-GGA SCAN) of a crystal of V3Cr3B8 relaxed with PBEsol. Values from VASP.

Summary:
Symmetry: Pmm2 (25)
Formation energy (eV/atom): -0.68

Quantum ESPRESSO input file:
```
&SYSTEM
  ibrav = 0, nat = 14, ntyp = 3
/
ATOMIC_SPECIES
Cr 52.00 Cr.upf
B 10.81 B.upf
V 50.94 V.upf
ATOMIC_POSITIONS angstrom
Cr 0.0000 0.0000 2.4287
Cr 1.4688 1.4701 8.9259
Cr 1.4688 1.4701 4.0592
B 1.4688 0.0000 5.6083
B 0.0000 1.4701 12.1338
B 0.0000 1.4701 0.8859
B 1.4688 0.0000 7.3371
B 0.0000 0.0000 4.6617
B 1.4688 1.4701 11.1940
B 1.4688 1.4701 1.8320
B 0.0000 0.0000 8.2698
V 0.0000 0.0000 10.5207
V 1.4688 0.0000 0.0214
V 0.0000 1.4701 6.4705
CELL_PARAMETERS angstrom
2.9376 0.0000 0.0000
0.0000 2.9402 0.0000
0.0000 0.0000 12.9768
```



The following is a DFT calculation (meta-GGA SCAN) of a crystal of Mg2CdMo relaxed with PBEsol. Values from VASP.

Summary:
Symmetry: P1 (1)
Formation energy (eV/atom): 0.29

Quantum ESPRESSO input file:
```
&SYSTEM
  ibrav = 0, nat = 4, ntyp = 3
/
ATOMIC_SPECIES
Cd 112.41 Cd.upf
Mg 24.30 Mg.upf
Mo 95.94 Mo.upf
ATOMIC_POSITIONS angstrom
Cd -0.4703 1.6222 2.4698
Mg 0.0085 0.0070 0.0354
Mg -2.2369 -0.3683 3.4721
Mo 0.0379 0.5678 5.1625
CELL_PARAMETERS angstrom
-0.8867 2.7005 -0.2845
-4.6676 -1.3409 1.9022
2.8353 -0.1053 4.3567
```



The following is a DFT calculation (meta-GGA SCAN) of a crystal of FeTcPdN2 relaxed with PBEsol. Values from VASP.

Summary:
Symmetry: P4/mmm (123)

Quantum ESPRESSO input file:
```
&SYSTEM
  ibrav = 0, nat = 5, ntyp = 4
/
ATOMIC_SPECIES
N 14.01 N.upf
Tc 98.00 Tc.upf
Pd 106.42 Pd.upf
Fe 55.84 Fe.upf
ATOMIC_POSITIONS angstrom
N 0.0000 1.8713 0.0000
N 1.8713 0.0000 0.0000
Tc 0.0000 0.0000 0.0000
Pd 1.8713 1.8713 2.4789
Fe 0.0000 0.0000 2.4789
CELL_PARAMETERS angstrom
3.7425 0.0000 0.0000
0.0000 3.7425 0.0000
0.0000 0.0000 4.9577
```



The following is a DFT calculation (meta-GGA SCAN) of a crystal of TiSi2Ru relaxed with PBEsol. Values from VASP.

Summary:
Symmetry: I-42d (122)

Quantum ESPRESSO input file:
```
&SYSTEM
  ibrav = 0, nat = 8, ntyp = 3
/
ATOMIC_SPECIES
Ru 101.07 Ru.upf
Si 28.09 Si.upf
Ti 47.87 Ti.upf
ATOMIC_POSITIONS angstrom
Ru 0.0000 1.8218 4.4168
Ru 0.0000 0.0000 0.0000
Si 2.7652 0.9109 2.2084
Si 0.8785 2.7327 2.2084
Si 0.9109 0.9433 6.6252
Si -0.9109 -0.9433 6.6252
Ti 1.8218 0.0000 4.4168
Ti 1.8218 1.8218 0.0000
CELL_PARAMETERS angstrom
3.6436 0.0000 0.0000
0.0000 3.6436 0.0000
-1.8218 -1.8218 8.8336
```



The following is a DFT calculation (meta-GGA SCAN) of a crystal of Ti3NiRu relaxed with PBEsol. Values from VASP.

Summary:
Symmetry: Pm-3m (221)
Formation energy (eV/atom): 0.65

Quantum ESPRESSO input file:
```
&SYSTEM
  ibrav = 0, nat = 5, ntyp = 3
/
ATOMIC_SPECIES
Ru 101.07 Ru.upf
Ti 47.87 Ti.upf
Ni 58.69 Ni.upf
ATOMIC_POSITIONS angstrom
Ru 0.0000 0.0000 0.0000
Ti 1.2589 -1.8664 -0.3932
Ti -0.2299 -0.6162 2.1887
Ti -1.8934 -1.1661 -0.5272
Ni -0.8644 -3.6486 1.2682
CELL_PARAMETERS angstrom
-3.7868 -2.3322 -1.0544
2.5178 -3.7327 -0.7864
-0.4599 -1.2324 4.3773
```



The following is a DFT calculation (meta-GGA SCAN) of a crystal of LiY2ScF relaxed with PBEsol. Values from VASP.

Summary:
Symmetry: P4/mmm (123)

Quantum ESPRESSO input file:
```
&SYSTEM
  ibrav = 0, nat = 5, ntyp = 4
/
ATOMIC_SPECIES
Y 88.91 Y.upf
Sc 44.96 Sc.upf
Li 6.94 Li.upf
F 19.00 F.upf
ATOMIC_POSITIONS angstrom
Y 2.5870 -1.3965 0.5304
Y -1.1056 -2.5032 -1.1983
Sc 0.9238 -4.3666 0.8220
Li 0.0000 0.0000 0.0000
F -0.5576 -0.4670 1.4899
CELL_PARAMETERS angstrom
-1.1151 -0.9339 2.9798
-2.2111 -5.0063 -2.3966
5.1739 -2.7930 1.0608
```



The following is a DFT calculation (meta-GGA SCAN) of a crystal of NaMn6P7O24 relaxed with PBEsol. Values from VASP.

Summary:
Symmetry: P2_1/m (11)

Quantum ESPRESSO input file:
```
&SYSTEM
  ibrav = 0, nat = 76, ntyp = 4
/
ATOMIC_SPECIES
O 16.00 O.upf
Na 22.99 Na.upf
P 30.97 P.upf
Mn 54.94 Mn.upf
ATOMIC_POSITIONS angstrom
O -1.0457 -1.6274 -1.3645
O -12.5956 -6.1677 4.7047
O -20.5579 -11.5085 12.2034
O -9.0081 -6.9681 6.1342
O -18.5755 -10.7674 14.6435
O -10.8352 -7.6050 3.5478
O -3.0281 -2.3684 -3.8047
O -10.7685 -5.5308 7.2910
O -1.7805 -5.1295 -3.4900
O -12.7869 -3.2868 7.7023
O -19.8232 -8.0064 14.3289
O -8.8167 -9.8490 3.1366
O -3.1801 -0.2826 -0.9678
O -11.8357 -8.4344 5.6025
O -5.1713 -1.1073 -2.1418
O -9.7680 -4.7014 5.2364
O -14.0698 -12.1326 8.7696
O -7.5339 -1.0032 2.0693
O -15.8474 -10.3982 8.1174
O -5.7563 -2.7376 2.7215
O -14.1272 -6.7766 10.5010
O -5.8464 -5.2659 -1.1972
O -7.4764 -6.3592 0.3379
O -15.7572 -7.8699 12.0361
O -4.7135 -1.9823 0.2008
O -13.5324 -8.9012 7.4757
O -16.8902 -11.1535 10.6381
O -8.0713 -4.2346 3.3631
O -15.0386 -4.6857 9.3555
O -3.5915 -6.4556 -1.3171
O -6.5650 -8.4501 1.4833
O -18.0122 -6.6802 12.1559
O -13.1281 -6.1079 8.3756
O -3.8934 -3.9545 -1.8520
O -8.4755 -7.0280 2.4633
O -17.7103 -9.1813 12.6909
O -15.5580 -6.9889 8.4331
O -4.0953 -4.8387 0.5689
O -6.0457 -6.1469 2.4057
O -17.5083 -8.2971 10.2699
O -5.3987 0.4371 -0.1341
O -11.7748 -10.6014 6.8007
O -16.2050 -13.5729 10.9729
O -9.8289 -2.5345 4.0382
O -10.5278 -4.7002 2.9028
O -16.4324 -12.0285 12.9806
O -11.0759 -8.4357 7.9361
O -18.4235 -12.8532 11.8067
Na -14.1406 -10.1009 10.1415
Na -7.4631 -3.0350 0.6973
P -14.5009 -6.0877 9.0469
P -9.4946 -4.0237 3.8142
P -17.3786 -8.0179 11.7570
P -7.1027 -7.0482 1.7919
P -4.2251 -5.1180 -0.9182
P -16.9275 -12.3442 11.5626
P -6.3997 -1.3893 2.9986
P -15.2039 -11.7466 7.8403
P -4.6762 -0.7917 -0.7238
P -12.1090 -9.1122 7.0247
P -9.4288 -5.5516 6.5406
P -20.0117 -12.8408 11.6788
P -1.5920 -0.2950 -0.8399
P -12.1748 -7.5843 4.2983
Mn -3.7947 -3.0837 1.6867
Mn -15.4947 -8.4999 6.9727
Mn -6.1089 -4.6360 3.8662
Mn -17.8090 -10.0522 9.1522
Mn -19.8078 -9.8247 13.1959
Mn -8.9495 -8.1095 4.3801
Mn -1.7959 -3.3112 -2.3570
Mn -12.6541 -5.0264 6.4587
Mn -16.5135 -10.2031 14.1053
Mn -10.3746 -6.4773 1.7103
Mn -5.0902 -2.9328 -3.2664
Mn -11.2290 -6.6585 9.1285
CELL_PARAMETERS angstrom
-3.7143 3.5726 -1.3995
-0.5060 -5.0485 -4.1329
-17.3834 -11.6599 16.3712
```



The following is a DFT calculation (meta-GGA SCAN) of a crystal of GaBi3B relaxed with PBEsol. Values from VASP.

Summary:
Symmetry: Pm-3m (221)
Formation energy (eV/atom): 0.84

Quantum ESPRESSO input file:
```
&SYSTEM
  ibrav = 0, nat = 5, ntyp = 3
/
ATOMIC_SPECIES
B 10.81 B.upf
Bi 208.98 Bi.upf
Ga 69.72 Ga.upf
ATOMIC_POSITIONS angstrom
B 0.0000 0.0000 0.0000
Bi -0.6941 -2.2495 -0.8762
Bi 1.1562 -1.1101 1.9340
Bi -2.1192 0.1312 1.3422
Ga -1.6572 -3.2284 2.4000
CELL_PARAMETERS angstrom
-4.2384 0.2623 2.6843
-1.3883 -4.4989 -1.7523
2.3124 -2.2202 3.8681
```



The following is a DFT calculation (meta-GGA SCAN) of a crystal of RbTcSn2Pb relaxed with PBEsol. Values from VASP.

Summary:
Symmetry: P4/mmm (123)
Formation energy (eV/atom): 2.11

Quantum ESPRESSO input file:
```
&SYSTEM
  ibrav = 0, nat = 5, ntyp = 4
/
ATOMIC_SPECIES
Pb 207.20 Pb.upf
Sn 118.71 Sn.upf
Rb 85.47 Rb.upf
Tc 98.00 Tc.upf
ATOMIC_POSITIONS angstrom
Pb 0.0000 0.0000 2.8719
Sn 0.0000 2.8555 0.0000
Sn 2.8555 0.0000 0.0000
Rb 0.0000 0.0000 0.0000
Tc 2.8555 2.8555 2.8719
CELL_PARAMETERS angstrom
5.7109 0.0000 0.0000
0.0000 5.7109 0.0000
0.0000 0.0000 5.7438
```



The following is a DFT calculation (meta-GGA SCAN) of a crystal of LiTcHg2 relaxed with PBEsol. Values from VASP.

Summary:
Symmetry: P4/mmm (123)
Formation energy (eV/atom): 0.10
Offset from the most stable computed form (meV/atom): 0

Quantum ESPRESSO input file:
```
&SYSTEM
  ibrav = 0, nat = 4, ntyp = 3
/
ATOMIC_SPECIES
Hg 200.59 Hg.upf
Li 6.94 Li.upf
Tc 98.00 Tc.upf
ATOMIC_POSITIONS angstrom
Hg -1.6428 -1.5159 1.6862
Hg 0.8461 0.5362 2.6147
Li 0.9926 -2.2414 2.2933
Tc 0.0000 0.0000 0.0000
CELL_PARAMETERS angstrom
-1.7892 1.2617 2.0076
-1.4963 -4.2936 1.3648
3.4815 -0.1892 3.2218
```



The following is a DFT calculation (meta-GGA SCAN) of a crystal of GdPbAu relaxed with PBEsol. Values from VASP.

Summary:
Symmetry: F-43m (216)
Formation energy (eV/atom): -0.90

Quantum ESPRESSO input file:
```
&SYSTEM
  ibrav = 0, nat = 3, ntyp = 3
/
ATOMIC_SPECIES
Pb 207.20 Pb.upf
Gd 157.25 Gd.upf
Au 196.97 Au.upf
ATOMIC_POSITIONS angstrom
Pb 0.0000 0.0000 0.0000
Gd 4.7785 2.7588 1.9508
Au 7.1677 4.1383 2.9262
CELL_PARAMETERS angstrom
4.7785 0.0000 0.0000
2.3892 4.1383 0.0000
2.3892 1.3794 3.9016
```



The following is a DFT calculation (meta-GGA SCAN) of a crystal of CsSO2F relaxed with PBEsol. Values from VASP.

Summary:
Symmetry: P4/mmm (123)

Quantum ESPRESSO input file:
```
&SYSTEM
  ibrav = 0, nat = 5, ntyp = 4
/
ATOMIC_SPECIES
Cs 132.91 Cs.upf
S 32.06 S.upf
O 16.00 O.upf
F 19.00 F.upf
ATOMIC_POSITIONS angstrom
Cs 0.0000 0.0000 0.0000
S 2.1711 2.1711 2.5944
O 0.0000 2.1711 0.0000
O 2.1711 0.0000 0.0000
F 0.0000 0.0000 2.5944
CELL_PARAMETERS angstrom
4.3422 0.0000 0.0000
0.0000 4.3422 0.0000
0.0000 0.0000 5.1889
```



The following is a DFT calculation (meta-GGA SCAN) of a crystal of Cd3SiB relaxed with PBEsol. Values from VASP.

Summary:
Symmetry: Pm-3m (221)

Quantum ESPRESSO input file:
```
&SYSTEM
  ibrav = 0, nat = 5, ntyp = 3
/
ATOMIC_SPECIES
Si 28.09 Si.upf
B 10.81 B.upf
Cd 112.41 Cd.upf
ATOMIC_POSITIONS angstrom
Si 2.2778 2.2778 2.2778
B 0.0000 0.0000 0.0000
Cd 0.0000 2.2778 0.0000
Cd 0.0000 0.0000 2.2778
Cd 2.2778 0.0000 0.0000
CELL_PARAMETERS angstrom
4.5555 0.0000 0.0000
0.0000 4.5555 0.0000
0.0000 0.0000 4.5555
```



The following is a DFT calculation (meta-GGA SCAN) of a crystal of CaGa2CuHg relaxed with PBEsol. Values from VASP.

Summary:
Symmetry: P4/mmm (123)
Formation energy (eV/atom): 1.11

Quantum ESPRESSO input file:
```
&SYSTEM
  ibrav = 0, nat = 5, ntyp = 4
/
ATOMIC_SPECIES
Ca 40.08 Ca.upf
Cu 63.55 Cu.upf
Hg 200.59 Hg.upf
Ga 69.72 Ga.upf
ATOMIC_POSITIONS angstrom
Ca 0.0000 0.0000 0.0000
Cu 2.7356 2.7356 2.7466
Hg 0.0000 0.0000 2.7466
Ga 0.0000 2.7356 0.0000
Ga 2.7356 0.0000 0.0000
CELL_PARAMETERS angstrom
5.4712 0.0000 0.0000
0.0000 5.4712 0.0000
0.0000 0.0000 5.4931
```



The following is a DFT calculation (meta-GGA SCAN) of a crystal of Ni2PBr relaxed with PBEsol. Values from VASP.

Summary:
Symmetry: F-43m (216)
Offset from the most stable computed form (meV/atom): 1335

Quantum ESPRESSO input file:
```
&SYSTEM
  ibrav = 0, nat = 4, ntyp = 3
/
ATOMIC_SPECIES
Br 79.90 Br.upf
Ni 58.69 Ni.upf
P 30.97 P.upf
ATOMIC_POSITIONS angstrom
Br -4.8359 2.0493 -0.2162
Ni 0.0000 0.0000 0.0000
Ni -7.2539 3.0740 -0.3242
P -2.4180 1.0247 -0.1081
CELL_PARAMETERS angstrom
-2.4876 3.2542 1.2821
-3.0434 1.5322 -2.6100
-4.1409 -0.6878 0.8956
```



The following is a DFT calculation (meta-GGA SCAN) of a crystal of FeCuPt2 relaxed with PBEsol. Values from VASP.

Summary:
Symmetry: I-4m2 (119)
Formation energy (eV/atom): -0.25

Quantum ESPRESSO input file:
```
&SYSTEM
  ibrav = 0, nat = 4, ntyp = 3
/
ATOMIC_SPECIES
Cu 63.55 Cu.upf
Pt 195.08 Pt.upf
Fe 55.84 Fe.upf
ATOMIC_POSITIONS angstrom
Cu -1.6090 -1.6951 -1.1795
Pt 0.0000 0.0000 0.0000
Pt -1.8769 -1.2606 1.4666
Fe 0.1876 -2.6197 0.6038
CELL_PARAMETERS angstrom
-3.6734 -0.3360 -0.3167
0.4554 -3.0543 -2.0423
1.5286 -0.4900 4.4294
```



The following is a DFT calculation (meta-GGA SCAN) of a crystal of TaAlCo relaxed with PBEsol. Values from VASP.

Summary:
Symmetry: F-43m (216)
Formation energy (eV/atom): 0.73

Quantum ESPRESSO input file:
```
&SYSTEM
  ibrav = 0, nat = 3, ntyp = 3
/
ATOMIC_SPECIES
Co 58.93 Co.upf
Al 26.98 Al.upf
Ta 180.95 Ta.upf
ATOMIC_POSITIONS angstrom
Co 0.0000 0.0000 0.0000
Al 2.0412 1.1785 0.8333
Ta 4.0824 2.3570 1.6666
CELL_PARAMETERS angstrom
4.0824 0.0000 0.0000
2.0412 3.5355 0.0000
2.0412 1.1785 3.3333
```



The following is a DFT calculation (meta-GGA SCAN) of a crystal of Fe2CoW relaxed with PBEsol. Values from VASP.

Summary:
Symmetry: P4/mmm (123)
Formation energy (eV/atom): 0.04
Offset from the most stable computed form (meV/atom): 12

Quantum ESPRESSO input file:
```
&SYSTEM
  ibrav = 0, nat = 4, ntyp = 3
/
ATOMIC_SPECIES
Co 58.93 Co.upf
Fe 55.84 Fe.upf
W 183.84 W.upf
ATOMIC_POSITIONS angstrom
Co 1.4223 1.4223 2.9640
Fe 0.0000 0.0000 4.3136
Fe 0.0000 0.0000 1.6144
W 1.4223 1.4223 0.0000
CELL_PARAMETERS angstrom
2.8447 0.0000 0.0000
0.0000 2.8447 0.0000
0.0000 0.0000 5.9280
```



Quick rundown of total moment, same order as above: 0.0 0.4 0.5 0.0 3.7 0.0 1.9 1.7 60.0 0.0 3.7 0.0 7.0 3.0 0.0 0.0 0.9 3.9 1.7 6.7 μB/cell
Quick rundown of final energy, same order as above: -42.051 -15.561 -12.610 -18.520 -20.030 -17.827 -19.167 -15.621 -11.278 -51.059 -38.572 -43.342 -68.823 -11.982 -20.931 -24.031 -14.482 -43.683 -29.821 -30.774 eV per atom